[1]
Na2Er2AuO6 after structural relaxation, computed with PBE-GGA.

Properties
As for the total energy: -6.06 eV per atom. The calculation puts the uncorrected formation energy at -21.86 eV/f.u. Its space group is No. 12.

Cell: 5.8157 5.8157 5.8639 Å, 97.38 97.38 120.98°
Closest atoms and distances in Å follow each position.
Element x y z (fractional)
Na 0.1536 0.8464 0.0000  4 O 2.38-2.51
Na 0.8464 0.1536 0.0000  4 O 2.38-2.51
Er 0.3351 0.6649 0.5000  6 O 2.23-2.31
Er 0.6649 0.3351 0.5000  6 O 2.23-2.31
Au 0.0000 0.0000 0.5000  6 O 2.05-2.28
O 0.0462 0.3880 0.7053  2 Er 2.23-2.26, 1 Au 2.28, 1 Na 2.38
O 0.2488 0.2488 0.3036  1 Au 2.05
O 0.3880 0.0462 0.7053  2 Er 2.23-2.26, 1 Au 2.28, 1 Na 2.38
O 0.6120 0.9538 0.2947  2 Er 2.23-2.26, 1 Au 2.28, 1 Na 2.38
O 0.7512 0.7512 0.6964  1 Au 2.05
O 0.9538 0.6120 0.2947  2 Er 2.23-2.26, 1 Au 2.28, 1 Na 2.38

***

[2]
NaErAuS2 after structural relaxation, computed with PBE-GGA.

Properties
As for the total energy: -4.56 eV per atom. The calculation puts the uncorrected formation energy at -5.37 eV/f.u. Its space group is No. 13.

Cell: 6.4510 5.0360 7.4028 Å, 90.00 92.99 90.00°
Closest atoms and distances in Å follow each position.
Element x y z (fractional)
Na 0.0000 0.0364 0.2500  4 S 2.90-2.91
Na 0.0000 0.9636 0.7500  4 S 2.90-2.91
Er 0.5000 0.4970 0.7500  4 S 2.68-2.69
Er 0.5000 0.5030 0.2500  4 S 2.68-2.69
Au 0.5000 0.0000 0.0000  2 S 2.43
Au 0.5000 0.0000 0.5000  2 S 2.43
S 0.2269 0.3339 0.9890  1 Au 2.43, 2 Er 2.68-2.69
S 0.2269 0.6661 0.4890  1 Au 2.43, 2 Er 2.68-2.69
S 0.7731 0.3339 0.5110  1 Au 2.43, 2 Er 2.68-2.69
S 0.7731 0.6661 0.0110  1 Au 2.43, 2 Er 2.68-2.69

***

[3]
NaErSbAu after structural relaxation, computed with PBE-GGA.

Properties
As for the total energy: -3.97 eV per atom. The calculation puts the uncorrected formation energy at -2.61 eV/f.u. Its space group is No. 216.

Cell: 5.1531 5.1531 5.1531 Å, 60.00 60.00 60.00°
Closest atoms and distances in Å follow each position.
Element x y z (fractional)
Na 0.0000 0.0000 0.0000  4 Au 3.16, 4 Sb 3.16
Er 0.5000 0.5000 0.5000  4 Au 3.16, 4 Sb 3.16
Sb 0.2500 0.2500 0.2500  4 Er 3.16, 4 Na 3.16
Au 0.7500 0.7500 0.7500  4 Er 3.16, 4 Na 3.16